Below is a relaxed structure of CrClF3, with properties calculated at the GGA+U level.

abc: 5.186 5.674 6.057
angles: 90.00 90.00 90.27
Fractional positions:
Cr: 0.496 0.996 0.250
Cr: 0.504 0.004 0.750
Cl: 0.278 0.649 0.250
Cl: 0.722 0.351 0.750
F: 0.711 0.894 0.498
F: 0.289 0.106 0.502
F: 0.711 0.894 0.002
F: 0.289 0.106 0.998
F: 0.662 0.281 0.250
F: 0.338 0.719 0.750

Calculated values
Energy above the most stable polymorph in this dataset in eV per atom: 0.000
Space-group type: P2_1/m, No. 11
DOS at the Fermi energy in states/eV/f.u.: 2.5